Entry 1:
First-principles (GGA-PBE) data for a relaxed KDyYNi2 crystal, as listed in OQMD.

Values from the calculation:
VASP energy = -4.8147 eV per atom
Mass density = 5.06 Mg/m³
Total magnetization = 0.00 μB/cell

CIF file:
```
data_KDyYNi2
_chemical_formula_sum 'K2 Dy2 Y2 Ni4'
_cell_length_a 3.714
_cell_length_b 4.032
_cell_length_c 17.874
_cell_angle_alpha 90.00
_cell_angle_beta 90.00
_cell_angle_gamma 90.00
_space_group_name_H-M_alt 'A m m 2'
_space_group_IT_number 38
_space_group_name_Hall 'A 2 -2'
loop_
_atom_site_label
_atom_site_type_symbol
_atom_site_fract_x
_atom_site_fract_y
_atom_site_fract_z
K1 K 0.000 0.000 0.000
Dy1 Dy 0.500 0.000 0.331
Y1 Y 0.500 0.000 0.670
Ni1 Ni 0.000 0.000 0.211
Ni2 Ni 0.000 0.000 0.794
```

=====

Entry 2:
First-principles (GGA-PBE) data for a relaxed YTmTe crystal, as listed in OQMD.

Values from the calculation:
Energy relative to the lowest polymorph listed for this composition = 0.0000 eV/atom
Mass density = 7.08 Mg/m³
Total magnetization = 4.06 μB/cell

CIF file:
```
data_YTmTe
_chemical_formula_sum 'Y4 Tm4 Te4'
_cell_length_a 7.126
_cell_length_b 7.126
_cell_length_c 7.126
_cell_angle_alpha 90.00
_cell_angle_beta 90.00
_cell_angle_gamma 90.00
_space_group_name_H-M_alt 'F -4 3 m'
_space_group_IT_number 216
_space_group_name_Hall 'F -4 2 3'
loop_
_atom_site_label
_atom_site_type_symbol
_atom_site_fract_x
_atom_site_fract_y
_atom_site_fract_z
Y1 Y 0.000 0.000 0.000
Tm1 Tm 0.000 0.000 0.500
Te1 Te 0.250 0.250 0.750
```

=====

Entry 3:
First-principles (GGA-PBE) data for a relaxed TmZr3C2S2 crystal, as listed in OQMD.

Values from the calculation:
VASP energy = -8.4187 eV per atom
Mass density = 6.82 Mg/m³
Total magnetization = 0.01 μB/cell

CIF file:
```
data_TmZr3C2S2
_chemical_formula_sum 'Tm1 Zr3 C2 S2'
_cell_length_a 3.4700
_cell_length_b 3.4700
_cell_length_c 12.3870
_cell_angle_alpha 90.00
_cell_angle_beta 90.00
_cell_angle_gamma 120.00
_space_group_name_H-M_alt 'P 3 m 1'
_space_group_IT_number 156
_space_group_name_Hall 'P 3 -2"'
loop_
_atom_site_label
_atom_site_type_symbol
_atom_site_fract_x
_atom_site_fract_y
_atom_site_fract_z
Tm1 Tm 0.0000 0.0000 0.0000
Zr1 Zr 0.0000 0.0000 0.7004
Zr2 Zr 0.3333 0.6667 0.2079
Zr3 Zr 0.3333 0.6667 0.5027
C1 C 0.6667 0.3333 0.1109
C2 C 0.6667 0.3333 0.6016
S1 S 0.0000 0.0000 0.3554
S2 S 0.3333 0.6667 0.8451
```

=====

Please write out number 3 again, unchanged.
First-principles (GGA-PBE) data for a relaxed TmZr3C2S2 crystal, as listed in OQMD.

Values from the calculation:
VASP energy = -8.4187 eV per atom
Mass density = 6.82 Mg/m³
Total magnetization = 0.01 μB/cell

CIF file:
```
data_TmZr3C2S2
_chemical_formula_sum 'Tm1 Zr3 C2 S2'
_cell_length_a 3.4700
_cell_length_b 3.4700
_cell_length_c 12.3870
_cell_angle_alpha 90.00
_cell_angle_beta 90.00
_cell_angle_gamma 120.00
_space_group_name_H-M_alt 'P 3 m 1'
_space_group_IT_number 156
_space_group_name_Hall 'P 3 -2"'
loop_
_atom_site_label
_atom_site_type_symbol
_atom_site_fract_x
_atom_site_fract_y
_atom_site_fract_z
Tm1 Tm 0.0000 0.0000 0.0000
Zr1 Zr 0.0000 0.0000 0.7004
Zr2 Zr 0.3333 0.6667 0.2079
Zr3 Zr 0.3333 0.6667 0.5027
C1 C 0.6667 0.3333 0.1109
C2 C 0.6667 0.3333 0.6016
S1 S 0.0000 0.0000 0.3554
S2 S 0.3333 0.6667 0.8451
```